Below is crystalline BaNiSn2 at its relaxed geometry, with properties calculated at the PBEsol level.

Cell and atoms, written as POSCAR:
```
BaNiSn2
1.0
0.000 3.669 3.669
3.669 0.000 3.669
3.669 3.669 0.000
Ba Ni Sn
1 1 2
direct
0.000 0.000 0.000
0.500 0.500 0.500
0.250 0.250 0.250
0.750 0.750 0.750
```

The space group is Fm-3m (225). The density comes out at 7.28 g/cm³.


Below is crystalline BaSrNi2 at its relaxed geometry, with properties calculated at the PBEsol level.

Cell and atoms, written as POSCAR:
```
BaSrNi2
1.0
-2.114 2.114 5.259
2.114 -2.114 5.259
2.114 2.114 -5.259
Ba Sr Ni
1 1 2
direct
0.000 0.000 0.000
0.250 0.750 0.500
0.500 0.500 0.000
0.750 0.250 0.500
```

The space group is I-4m2 (119). The density comes out at 6.05 g/cm³. The value obtained for the relative energy among the computed polymorphs is 374 meV per atom.


Below is crystalline BaSr3Ni at its relaxed geometry, with properties calculated at the PBEsol level.

Cell and atoms, written as POSCAR:
```
BaSr3Ni
1.0
5.937 0.000 0.000
0.000 5.937 0.000
0.000 0.000 5.937
Ba Sr Ni
1 3 1
direct
0.000 0.000 0.000
0.000 0.500 0.500
0.500 0.000 0.500
0.500 0.500 0.000
0.500 0.500 0.500
```

The space group is Pm-3m (221). The density comes out at 3.64 g/cm³.


Below is crystalline BaSrNi2 at its relaxed geometry, with properties calculated at the PBEsol level.

Cell and atoms, written as POSCAR:
```
BaSrNi2
1.0
4.203 0.000 0.000
0.000 2.222 5.612
0.000 -2.222 5.612
Ba Sr Ni
1 1 2
direct
0.000 0.000 0.000
0.500 0.719 0.719
0.000 0.310 0.310
0.500 0.391 0.391
```

The space group is Amm2 (38). The density comes out at 5.42 g/cm³. The value obtained for the relative energy among the computed polymorphs is 0 meV per atom.


Below is crystalline BaSrNi2 at its relaxed geometry, with properties calculated at the PBEsol level.

Cell and atoms, written as POSCAR:
```
BaSrNi2
1.0
3.421 0.000 0.000
0.000 3.421 0.000
0.000 0.000 8.607
Ba Sr Ni
1 1 2
direct
0.000 0.000 0.000
0.500 0.500 0.564
0.000 0.000 0.321
0.500 0.500 0.254
```

The space group is P4mm (99). The density comes out at 5.64 g/cm³. The value obtained for the relative energy among the computed polymorphs is 240 meV per atom.


Below is crystalline BaTaNi3 at its relaxed geometry, with properties calculated at the PBEsol level.

Cell and atoms, written as POSCAR:
```
BaTaNi3
1.0
4.663 0.000 0.000
0.000 4.663 0.000
0.000 0.000 4.663
Ba Ta Ni
1 1 3
direct
0.000 0.000 0.000
0.500 0.500 0.500
0.000 0.000 0.500
0.000 0.500 0.000
0.500 0.000 0.000
```

The space group is Pm-3m (221). The density comes out at 8.10 g/cm³.


Below is crystalline BaTaNi2 at its relaxed geometry, with properties calculated at the PBEsol level.

Cell and atoms, written as POSCAR:
```
BaTaNi2
1.0
2.092 1.208 5.826
-2.092 1.208 5.826
0.000 -2.415 5.826
Ba Ta Ni
1 1 2
direct
0.000 0.000 0.000
0.186 0.186 0.186
0.490 0.490 0.490
0.811 0.811 0.811
```

The space group is R3m (160). The density comes out at 8.19 g/cm³. The value obtained for the relative energy among the computed polymorphs is 0 meV per atom.


Below is crystalline BaTaNi2 at its relaxed geometry, with properties calculated at the PBEsol level.

Cell and atoms, written as POSCAR:
```
BaTaNi2
1.0
-2.063 2.773 3.546
2.063 -2.773 3.546
2.063 2.773 -3.546
Ba Ta Ni
1 1 2
direct
0.000 0.000 0.000
0.500 0.500 0.000
0.309 0.809 0.500
0.691 0.191 0.500
```

The space group is Immm (71). The density comes out at 8.92 g/cm³. The value obtained for the relative energy among the computed polymorphs is 469 meV per atom.


Below is crystalline BaTcNi2 at its relaxed geometry, with properties calculated at the PBEsol level.

Cell and atoms, written as POSCAR:
```
BaTcNi2
1.0
2.918 0.000 0.000
0.000 3.346 0.000
0.000 0.000 7.172
Ba Tc Ni
1 1 2
direct
0.000 0.000 0.000
0.000 0.000 0.500
0.500 0.500 0.335
0.500 0.500 0.665
```

The space group is Pmmm (47). The density comes out at 8.37 g/cm³. The value obtained for the relative energy among the computed polymorphs is 211 meV per atom.


Below is crystalline BaTc2Ni at its relaxed geometry, with properties calculated at the PBEsol level.

Cell and atoms, written as POSCAR:
```
BaTc2Ni
1.0
4.441 0.000 0.000
0.000 3.073 0.000
-0.015 0.000 5.158
Ba Tc Ni
1 2 1
direct
0.000 0.000 0.000
0.000 0.500 0.500
0.500 0.000 0.500
0.500 0.500 0.000
```

The space group is P2/m (10). The density comes out at 9.24 g/cm³. The value obtained for the relative energy among the computed polymorphs is 165 meV per atom.


Below is crystalline BaTcNi2 at its relaxed geometry, with properties calculated at the PBEsol level.

Cell and atoms, written as POSCAR:
```
BaTcNi2
1.0
0.000 3.271 3.271
3.271 0.000 3.271
3.271 3.271 0.000
Ba Tc Ni
1 1 2
direct
0.000 0.000 0.000
0.500 0.500 0.500
0.250 0.250 0.250
0.750 0.750 0.750
```

The space group is Fm-3m (225). The density comes out at 8.37 g/cm³. The value obtained for the relative energy among the computed polymorphs is 764 meV per atom.


Below is crystalline Ba2TcNi at its relaxed geometry, with properties calculated at the PBEsol level.

Cell and atoms, written as POSCAR:
```
Ba2TcNi
1.0
3.600 -2.079 0.000
3.600 2.079 0.000
-2.451 0.000 8.591
Ba Tc Ni
2 1 1
direct
0.000 0.000 0.000
0.176 0.176 0.516
0.755 0.755 0.258
0.422 0.422 0.258
```

The space group is Cm (8). The density comes out at 5.57 g/cm³.


Below is crystalline BaTcNi2 at its relaxed geometry, with properties calculated at the PBEsol level.

Cell and atoms, written as POSCAR:
```
BaTcNi2
1.0
4.838 0.000 0.000
0.000 4.838 0.000
0.000 0.000 2.879
Ba Tc Ni
1 1 2
direct
0.000 0.000 0.000
0.500 0.500 0.000
0.000 0.500 0.500
0.500 0.000 0.500
```

The space group is P4/mmm (123). The density comes out at 8.69 g/cm³. The value obtained for the relative energy among the computed polymorphs is 645 meV per atom.


Below is crystalline BaTc2Ni at its relaxed geometry, with properties calculated at the PBEsol level.

Cell and atoms, written as POSCAR:
```
BaTc2Ni
1.0
-1.606 2.801 4.515
1.606 -2.801 4.515
1.606 2.801 -4.515
Ba Tc Ni
1 2 1
direct
0.000 0.000 0.000
0.318 0.818 0.500
0.502 0.502 0.000
0.701 0.201 0.500
```

The space group is Imm2 (44). The density comes out at 8.01 g/cm³. The value obtained for the relative energy among the computed polymorphs is 0 meV per atom.


Record-wise energy of formation values, in kJ per mole of atoms: 9.22; 41.80; 3.59; 5.67; 28.86; 216.57; 24.33; 69.56; 42.91; 111.56; 96.26; 35.58; 84.73; 95.63